First-principles (PBE) data for a relaxed structure of Tl3Se5I12, as listed in the Alexandria database.

```
data_Tl3Se5I12
_chemical_formula_sum 'Tl12 Se20 I48'
_symmetry_space_group_name_H-M 'P 1'
_symmetry_Int_Tables_number 1
_symmetry_space_group_name_Hall 'P 1'
_cell_length_a 17.271
_cell_length_b 17.271
_cell_length_c 17.271
_cell_angle_alpha 109.47
_cell_angle_beta 109.47
_cell_angle_gamma 109.47
loop_
_atom_site_label
_atom_site_type_symbol
_atom_site_fract_x
_atom_site_fract_y
_atom_site_fract_z
I1 I 0.992 0.387 0.821
I2 I 0.821 0.887 0.992
Tl1 Tl 0.750 0.375 0.125
I3 I 0.395 0.387 0.066
Tl2 Tl 0.250 0.625 0.875
I4 I 0.934 0.821 0.829
Se1 Se 0.750 0.125 0.875
I5 I 0.179 0.113 0.008
I6 I 0.605 0.613 0.934
Tl3 Tl 0.625 0.250 0.375
I7 I 0.105 0.671 0.492
Se2 Se 0.125 0.375 0.250
Se3 Se 0.250 0.375 0.625
Se4 Se 0.250 0.875 0.125
I8 I 0.395 0.008 0.829
Tl4 Tl 0.125 0.250 0.875
I9 I 0.895 0.566 0.887
Se5 Se 0.000 0.000 0.000
I10 I 0.605 0.992 0.171
Se6 Se 0.000 0.000 0.500
I11 I 0.566 0.895 0.387
I12 I 0.671 0.566 0.179
I13 I 0.066 0.179 0.171
I14 I 0.105 0.434 0.113
I15 I 0.329 0.434 0.821
I16 I 0.066 0.887 0.395
I17 I 0.508 0.829 0.895
I18 I 0.113 0.179 0.508
I19 I 0.992 0.605 0.671
Se7 Se 0.500 0.500 0.500
Se8 Se 0.500 0.500 0.000
I20 I 0.008 0.613 0.179
Tl5 Tl 0.875 0.750 0.125
I21 I 0.829 0.508 0.395
I22 I 0.434 0.105 0.613
I23 I 0.821 0.934 0.329
I24 I 0.613 0.008 0.679
I25 I 0.492 0.321 0.887
I26 I 0.887 0.821 0.492
Tl6 Tl 0.125 0.875 0.750
Se9 Se 0.375 0.125 0.750
I27 I 0.895 0.329 0.508
Se10 Se 0.750 0.625 0.375
Tl7 Tl 0.625 0.375 0.750
I28 I 0.566 0.671 0.679
Se11 Se 0.375 0.250 0.125
Se12 Se 0.125 0.750 0.375
I29 I 0.321 0.829 0.434
I30 I 0.934 0.113 0.605
I31 I 0.679 0.508 0.613
I32 I 0.679 0.171 0.566
I33 I 0.613 0.605 0.434
Se13 Se 0.000 0.500 0.000
Tl8 Tl 0.375 0.625 0.250
Se14 Se 0.625 0.875 0.250
I34 I 0.179 0.066 0.671
Se15 Se 0.500 0.000 0.500
I35 I 0.492 0.171 0.105
I36 I 0.171 0.492 0.605
Se16 Se 0.625 0.750 0.875
Tl9 Tl 0.750 0.875 0.625
I37 I 0.829 0.321 0.934
I38 I 0.113 0.934 0.105
Tl10 Tl 0.375 0.750 0.625
I39 I 0.329 0.895 0.008
I40 I 0.387 0.395 0.566
I41 I 0.508 0.679 0.113
I42 I 0.171 0.679 0.066
Tl11 Tl 0.875 0.125 0.250
I43 I 0.008 0.395 0.329
Se17 Se 0.875 0.625 0.750
I44 I 0.671 0.105 0.992
I45 I 0.434 0.329 0.321
I46 I 0.321 0.492 0.387
Se18 Se 0.500 0.000 0.000
I47 I 0.387 0.992 0.321
Tl12 Tl 0.250 0.125 0.375
Se19 Se 0.875 0.250 0.625
Se20 Se 0.000 0.500 0.500
I48 I 0.887 0.066 0.895
```

---

First-principles (PBE) data for a relaxed structure of UTl2Se2I2, as listed in the Alexandria database.

```
data_UTl2Se2I2
_chemical_formula_sum 'U1 Tl2 Se2 I2'
_symmetry_space_group_name_H-M 'P 1'
_symmetry_Int_Tables_number 1
_symmetry_space_group_name_Hall 'P 1'
_cell_length_a 5.537
_cell_length_b 5.537
_cell_length_c 9.743
_cell_angle_alpha 106.51
_cell_angle_beta 106.51
_cell_angle_gamma 90.00
loop_
_atom_site_label
_atom_site_type_symbol
_atom_site_fract_x
_atom_site_fract_y
_atom_site_fract_z
U1 U 0.000 0.000 0.000
Tl1 Tl 0.381 0.381 0.763
Se1 Se 0.500 0.000 0.000
I1 I 0.172 0.172 0.343
Tl2 Tl 0.619 0.619 0.237
Se2 Se 0.000 0.500 0.000
I2 I 0.828 0.828 0.657
```

---

First-principles (PBE) data for a relaxed structure of TlVSeI2, as listed in the Alexandria database.

```
data_TlVSeI2
_chemical_formula_sum 'Tl1 V1 Se1 I2'
_symmetry_space_group_name_H-M 'P 1'
_symmetry_Int_Tables_number 1
_symmetry_space_group_name_Hall 'P 1'
_cell_length_a 5.838
_cell_length_b 5.838
_cell_length_c 4.753
_cell_angle_alpha 90.00
_cell_angle_beta 90.00
_cell_angle_gamma 90.00
loop_
_atom_site_label
_atom_site_type_symbol
_atom_site_fract_x
_atom_site_fract_y
_atom_site_fract_z
Tl1 Tl 0.500 0.500 0.500
I1 I 0.000 0.500 0.000
V1 V 0.000 0.000 0.000
I2 I 0.500 0.000 0.000
Se1 Se 0.000 0.000 0.500
```

---

First-principles (PBE) data for a relaxed structure of TmSeI, as listed in the Alexandria database.

```
data_TmSeI
_chemical_formula_sum 'Tm1 Se1 I1'
_symmetry_space_group_name_H-M 'P 1'
_symmetry_Int_Tables_number 1
_symmetry_space_group_name_Hall 'P 1'
_cell_length_a 4.179
_cell_length_b 4.179
_cell_length_c 7.263
_cell_angle_alpha 90.00
_cell_angle_beta 90.00
_cell_angle_gamma 120.00
loop_
_atom_site_label
_atom_site_type_symbol
_atom_site_fract_x
_atom_site_fract_y
_atom_site_fract_z
I1 I 0.000 0.000 0.087
Se1 Se 0.333 0.667 0.547
Tm1 Tm 0.667 0.333 0.366
```

---

First-principles (PBE) data for a relaxed structure of Tm3Se3I, as listed in the Alexandria database.

```
data_Tm3Se3I
_chemical_formula_sum 'Tm6 Se6 I2'
_symmetry_space_group_name_H-M 'P 1'
_symmetry_Int_Tables_number 1
_symmetry_space_group_name_Hall 'P 1'
_cell_length_a 7.984
_cell_length_b 7.984
_cell_length_c 9.439
_cell_angle_alpha 64.98
_cell_angle_beta 64.98
_cell_angle_gamma 60.00
loop_
_atom_site_label
_atom_site_type_symbol
_atom_site_fract_x
_atom_site_fract_y
_atom_site_fract_z
Tm1 Tm 0.192 0.641 0.309
Tm2 Tm 0.858 0.192 0.309
Tm3 Tm 0.142 0.808 0.691
Se1 Se 0.066 0.527 0.648
I1 I 0.355 0.355 0.935
Se2 Se 0.527 0.758 0.648
Se3 Se 0.934 0.473 0.352
Se4 Se 0.242 0.934 0.352
Tm4 Tm 0.808 0.359 0.691
Tm5 Tm 0.359 0.142 0.691
Tm6 Tm 0.641 0.858 0.309
I2 I 0.645 0.645 0.065
Se5 Se 0.758 0.066 0.648
Se6 Se 0.473 0.242 0.352
```

---

First-principles (PBE) data for a relaxed structure of Tm4Se5I, as listed in the Alexandria database.

```
data_Tm4Se5I
_chemical_formula_sum 'Tm8 Se10 I2'
_symmetry_space_group_name_H-M 'P 1'
_symmetry_Int_Tables_number 1
_symmetry_space_group_name_Hall 'P 1'
_cell_length_a 6.938
_cell_length_b 8.383
_cell_length_c 10.628
_cell_angle_alpha 90.00
_cell_angle_beta 90.00
_cell_angle_gamma 90.00
loop_
_atom_site_label
_atom_site_type_symbol
_atom_site_fract_x
_atom_site_fract_y
_atom_site_fract_z
Tm1 Tm 0.998 0.000 0.729
Se1 Se 0.251 0.759 0.808
Se2 Se 0.251 0.241 0.808
Tm2 Tm 0.497 0.785 0.500
Tm3 Tm 0.002 0.500 0.229
Se3 Se 0.188 0.000 0.500
Tm4 Tm 0.497 0.215 0.500
Se4 Se 0.812 0.500 0.000
Se5 Se 0.749 0.259 0.692
Tm5 Tm 0.503 0.285 0.000
I1 I 0.208 0.500 0.500
Se6 Se 0.749 0.259 0.308
Tm6 Tm 0.503 0.715 0.000
Se7 Se 0.251 0.241 0.192
Se8 Se 0.251 0.759 0.192
I2 I 0.792 0.000 0.000
Tm7 Tm 0.998 0.000 0.271
Se9 Se 0.749 0.741 0.692
Se10 Se 0.749 0.741 0.308
Tm8 Tm 0.002 0.500 0.771
```

---

First-principles (PBE) data for a relaxed structure of TmSeI, as listed in the Alexandria database.

```
data_TmSeI
_chemical_formula_sum 'Tm2 Se2 I2'
_symmetry_space_group_name_H-M 'P 1'
_symmetry_Int_Tables_number 1
_symmetry_space_group_name_Hall 'P 1'
_cell_length_a 13.639
_cell_length_b 14.629
_cell_length_c 26.131
_cell_angle_alpha 90.00
_cell_angle_beta 90.00
_cell_angle_gamma 90.00
loop_
_atom_site_label
_atom_site_type_symbol
_atom_site_fract_x
_atom_site_fract_y
_atom_site_fract_z
Tm1 Tm 0.500 0.500 0.199
I1 I 0.500 0.500 0.911
Se1 Se 0.500 0.500 0.707
Tm2 Tm 0.500 0.500 0.801
I2 I 0.500 0.500 0.089
Se2 Se 0.500 0.500 0.293
```

---

First-principles (PBE) data for a relaxed structure of TmSeI, as listed in the Alexandria database.

```
data_TmSeI
_chemical_formula_sum 'Tm1 Se1 I1'
_symmetry_space_group_name_H-M 'P 1'
_symmetry_Int_Tables_number 1
_symmetry_space_group_name_Hall 'P 1'
_cell_length_a 3.661
_cell_length_b 3.661
_cell_length_c 7.670
_cell_angle_alpha 103.81
_cell_angle_beta 103.81
_cell_angle_gamma 90.00
loop_
_atom_site_label
_atom_site_type_symbol
_atom_site_fract_x
_atom_site_fract_y
_atom_site_fract_z
Se1 Se 0.277 0.277 0.554
I1 I 0.037 0.037 0.073
Tm1 Tm 0.686 0.686 0.373
```

---

First-principles (PBE) data for a relaxed structure of TmSeI, as listed in the Alexandria database.

```
data_TmSeI
_chemical_formula_sum 'Tm2 Se2 I2'
_symmetry_space_group_name_H-M 'P 1'
_symmetry_Int_Tables_number 1
_symmetry_space_group_name_Hall 'P 1'
_cell_length_a 4.195
_cell_length_b 7.336
_cell_length_c 8.200
_cell_angle_alpha 112.06
_cell_angle_beta 104.82
_cell_angle_gamma 90.00
loop_
_atom_site_label
_atom_site_type_symbol
_atom_site_fract_x
_atom_site_fract_y
_atom_site_fract_z
Se1 Se 0.356 0.674 0.711
I1 I 0.129 0.818 0.258
Tm1 Tm 0.755 0.723 0.510
Se2 Se 0.644 0.326 0.289
Tm2 Tm 0.245 0.277 0.490
I2 I 0.871 0.182 0.742
```

---

First-principles (PBE) data for a relaxed structure of Tm2SeI3, as listed in the Alexandria database.

```
data_Tm2SeI3
_chemical_formula_sum 'Tm4 Se2 I6'
_symmetry_space_group_name_H-M 'P 1'
_symmetry_Int_Tables_number 1
_symmetry_space_group_name_Hall 'P 1'
_cell_length_a 4.157
_cell_length_b 10.990
_cell_length_c 11.012
_cell_angle_alpha 85.44
_cell_angle_beta 79.12
_cell_angle_gamma 79.10
loop_
_atom_site_label
_atom_site_type_symbol
_atom_site_fract_x
_atom_site_fract_y
_atom_site_fract_z
Tm1 Tm 0.869 0.436 0.826
I1 I 0.325 0.330 0.019
I2 I 0.047 0.188 0.719
Tm2 Tm 0.578 0.314 0.530
Tm3 Tm 0.131 0.564 0.174
Se1 Se 0.602 0.477 0.319
I3 I 0.953 0.812 0.281
I4 I 0.675 0.670 0.981
Tm4 Tm 0.422 0.686 0.470
I5 I 0.780 0.819 0.621
Se2 Se 0.398 0.523 0.681
I6 I 0.220 0.181 0.379
```

---

First-principles (PBE) data for a relaxed structure of U4Se6I, as listed in the Alexandria database.

```
data_U4Se6I
_chemical_formula_sum 'U4 Se6 I1'
_symmetry_space_group_name_H-M 'P 1'
_symmetry_Int_Tables_number 1
_symmetry_space_group_name_Hall 'P 1'
_cell_length_a 3.964
_cell_length_b 8.937
_cell_length_c 8.937
_cell_angle_alpha 120.00
_cell_angle_beta 90.00
_cell_angle_gamma 90.00
loop_
_atom_site_label
_atom_site_type_symbol
_atom_site_fract_x
_atom_site_fract_y
_atom_site_fract_z
Se1 Se 0.500 0.195 0.389
U1 U 0.500 0.817 0.634
U2 U 0.000 0.333 0.667
U3 U 0.500 0.817 0.183
I1 I 0.000 0.000 0.000
Se2 Se 0.000 0.539 0.461
Se3 Se 0.500 0.195 0.805
Se4 Se 0.000 0.921 0.461
U4 U 0.500 0.366 0.183
Se5 Se 0.000 0.539 0.079
Se6 Se 0.500 0.611 0.805
```

---

First-principles (PBE) data for a relaxed structure of U2SeI6, as listed in the Alexandria database.

```
data_U2SeI6
_chemical_formula_sum 'U2 Se1 I6'
_symmetry_space_group_name_H-M 'P 1'
_symmetry_Int_Tables_number 1
_symmetry_space_group_name_Hall 'P 1'
_cell_length_a 3.762
_cell_length_b 9.046
_cell_length_c 11.783
_cell_angle_alpha 96.05
_cell_angle_beta 80.82
_cell_angle_gamma 77.99
loop_
_atom_site_label
_atom_site_type_symbol
_atom_site_fract_x
_atom_site_fract_y
_atom_site_fract_z
I1 I 0.969 0.820 0.241
I2 I 0.696 0.202 0.407
I3 I 0.253 0.632 0.862
U1 U 0.643 0.905 0.809
I4 I 0.304 0.798 0.593
Se1 Se 0.000 0.000 0.000
I5 I 0.747 0.368 0.138
U2 U 0.357 0.095 0.191
I6 I 0.031 0.180 0.759
```

---

Number 1: formation energy without anion corrections 0.38 eV per formula unit. Number 2: formation energy without anion corrections -5.52 eV per formula unit. Number 3: formation energy without anion corrections -1.93 eV per formula unit. Number 4: formation energy without anion corrections -4.86 eV per formula unit. Number 5: formation energy without anion corrections -9.38 eV per formula unit. Number 6: formation energy without anion corrections -15.12 eV per formula unit. Number 7: formation energy without anion corrections -0.02 eV per formula unit. Number 8: formation energy without anion corrections -3.91 eV per formula unit. Number 9: formation energy without anion corrections -4.84 eV per formula unit. Number 10: formation energy without anion corrections -8.05 eV per formula unit. Number 11: formation energy without anion corrections -11.24 eV per formula unit. Number 12: formation energy without anion corrections -6.51 eV per formula unit.